Material: LiBP
Method: DFT, PBE
State: optimized geometry

```
LiBP
1.0
-1.580 1.892 7.361
1.580 -1.892 7.361
1.580 1.892 -7.361
Li B P
2 2 2
direct
0.000 0.000 0.000 Li
0.798 0.298 0.500 Li
0.242 0.742 0.500 B
0.357 0.857 0.500 B
0.171 0.171 0.000 P
0.430 0.430 0.000 P
```

Summary:
- Electronic total energy: -29.66 eV for the cell shown
- SG: Imm2, No. 44
- E_form: -0.2771 eV/atom
- DOS at the Fermi energy: 0.9 states/eV/f.u.
- ΔE to the lowest computed polymorph: 46 meV/atom